Material: PdAu8
Method: DFT, PBE-GGA
State: optimized geometry

a = 8.781 Å, b = 8.781 Å, c = 4.149 Å
α = 90.00°, β = 90.00°, γ = 90.00°
Space group I4/mmm (No. 139)
Symmetry-distinct sites (fractional):
Pd (0.000, 0.000, 0.000) (multiplicity 2)
Au (0.000, 0.332, 0.000) (multiplicity 8)
Au (0.165, 0.165, 0.500) (multiplicity 8)

Computed properties:
E_tot: -3.523 eV per atom
calculated formation energy: -44 meV per atom